Entry 1:
DFT (PBE) results for TePPt2 after structural relaxation.

The structure belongs to space group R-3m (No. 166, hexagonal axes); the cell edges are 3.7962, 3.7962 and 17.8362 Å and the angles 90.00°, 90.00° and 120.00°. The asymmetric unit holds Te at (0.0000, 0.0000, 0.0000), P at (0.0000, 0.0000, 0.5000) and Pt at (0.0000, 0.0000, 0.2305).

The total energy comes out at -64.481 eV for the cell shown. For the theoretical density, the calculation gives 12.280 g/cm³. The energy relative to the lowest polymorph listed for this composition comes out at 90 meV per atom. The raw formation energy is -0.22 eV per atom.

Entry 2:
DFT (PBE) results for SrLi6Ca after structural relaxation.

The structure belongs to space group Amm2 (No. 38); the cell edges are 5.284, 7.208 and 11.756 Å and the angles 90.00°, 90.00° and 90.00°. The asymmetric unit holds Sr at (0.000, 0.000, 0.000), Li at (0.000, 0.000, 0.499), Li at (0.000, 0.207, 0.268), Li at (0.500, 0.000, 0.203), Li at (0.500, 0.199, 0.421) and Ca at (0.500, 0.000, 0.691).

The total energy comes out at -29.565 eV for the cell shown. For the theoretical density, the calculation gives 1.256 g/cm³. The energy relative to the lowest polymorph listed for this composition comes out at 0 meV per atom. The formation energy comes out at 48 meV/atom.

Entry 3:
DFT (PBE) results for Ce4AsSe2S after structural relaxation.

The structure belongs to space group Imma (No. 74); the cell edges are 8.307, 8.343 and 11.773 Å and the angles 90.00°, 90.00° and 90.00°. The asymmetric unit holds Ce at (0.000, 0.011, 0.249), Ce at (0.248, 0.250, 0.005), As at (0.000, 0.000, 0.000), Se at (0.000, 0.000, 0.500), Se at (0.250, 0.250, 0.750) and S at (0.250, 0.250, 0.250).

The total energy comes out at -214.954 eV for the cell shown. For the theoretical density, the calculation gives 6.719 g/cm³. The raw formation energy is -1.78 eV per atom.

Entry 4:
DFT (PBE) results for K3Tm3USe8 after structural relaxation.

The structure belongs to space group C2/m (No. 12); the cell edges are 14.349, 8.274 and 9.145 Å and the angles 90.00°, 121.54° and 90.00°. The asymmetric unit holds K at (0.000, 0.000, 0.000), K at (0.250, 0.250, 0.000), Tm at (0.000, 0.500, 0.500), Tm at (0.250, 0.250, 0.500), U at (0.000, 0.000, 0.500), Se at (0.017, 0.251, 0.300), Se at (0.234, 0.000, 0.700) and Se at (0.234, 0.500, 0.701).

The total energy comes out at -160.675 eV for the cell shown. For the theoretical density, the calculation gives 5.361 g/cm³. The raw formation energy is -1.63 eV per atom.

Entry 5:
DFT (PBE) results for Mg14MnW after structural relaxation.

The structure belongs to space group Amm2 (No. 38); the cell edges are 10.034, 6.156 and 10.865 Å and the angles 90.00°, 90.00° and 90.00°. The asymmetric unit holds Mg at (0.000, 0.000, 0.000), Mg at (0.000, 0.000, 0.499), Mg at (0.000, 0.249, 0.251), Mg at (0.257, 0.000, 0.661), Mg at (0.259, 0.000, 0.160), Mg at (0.267, 0.247, 0.920), Mg at (0.500, 0.250, 0.251), Mn at (0.500, 0.000, 0.502) and W at (0.500, 0.000, 0.006).

The total energy comes out at -83.316 eV for the cell shown. For the theoretical density, the calculation gives 2.865 g/cm³. The energy relative to the lowest polymorph listed for this composition comes out at 0 meV per atom. The formation energy comes out at 174 meV/atom.

Entry 6:
DFT (PBE) results for Mg3GaAu12 after structural relaxation.

The structure belongs to space group P4/mmm (No. 123); the cell edges are 4.169, 4.169 and 16.443 Å and the angles 90.00°, 90.00° and 90.00°. The asymmetric unit holds Mg at (0.000, 0.000, 0.000), Mg at (0.000, 0.000, 0.251), Ga at (0.000, 0.000, 0.500), Au at (0.000, 0.500, 0.125), Au at (0.000, 0.500, 0.375), Au at (0.500, 0.500, 0.000), Au at (0.500, 0.500, 0.251) and Au at (0.500, 0.500, 0.500).

The total energy comes out at -51.986 eV for the cell shown. For the theoretical density, the calculation gives 14.560 g/cm³. The formation energy comes out at -303 meV/atom.

Entry 7:
DFT (PBE) results for LiHoPuTc after structural relaxation.

The structure belongs to space group F-43m (No. 216); the cell edges are 6.904, 6.904 and 6.904 Å and the angles 90.00°, 90.00° and 90.00°. The asymmetric unit holds Li at (0.000, 0.000, 0.000), Ho at (0.250, 0.250, 0.250), Pu at (0.250, 0.250, 0.750) and Tc at (0.000, 0.000, 0.500).

The total energy comes out at -123.375 eV for the cell shown. For the theoretical density, the calculation gives 10.372 g/cm³. The formation energy comes out at 86 meV/atom.

Entry 8:
DFT (PBE) results for CeIn3Au3 after structural relaxation.

The structure belongs to space group R-3 (No. 148, hexagonal axes); the cell edges are 8.5821, 8.5821 and 17.4158 Å and the angles 90.00°, 90.00° and 120.00°. The asymmetric unit holds Ce at (0.0000, 0.0000, 0.1655), In at (0.0017, 0.2996, 0.5960) and Au at (0.0010, 0.3547, 0.4217).

The total energy comes out at -158.377 eV for the cell shown. For the theoretical density, the calculation gives 9.646 g/cm³. The energy relative to the lowest polymorph listed for this composition comes out at 13 meV per atom. The formation energy comes out at -345 meV/atom.

Entry 9:
DFT (PBE) results for BeHgRh2 after structural relaxation.

The structure belongs to space group F-43m (No. 216); the cell edges are 6.193, 6.193 and 6.193 Å and the angles 90.00°, 90.00° and 90.00°. The asymmetric unit holds Be at (0.000, 0.000, 0.000), Hg at (0.250, 0.250, 0.750), Rh at (0.000, 0.000, 0.500) and Rh at (0.250, 0.250, 0.250).

The total energy comes out at -71.126 eV for the cell shown. For the theoretical density, the calculation gives 11.618 g/cm³. The energy relative to the lowest polymorph listed for this composition comes out at 389 meV per atom. The formation energy comes out at 237 meV/atom.

Entry 10:
DFT (PBE) results for Cs2AgPCl6 after structural relaxation.

The structure belongs to space group Fm-3m (No. 225); the cell edges are 10.431, 10.431 and 10.431 Å and the angles 90.00°, 90.00° and 90.00°. The asymmetric unit holds Cs at (0.250, 0.250, 0.250), Ag at (0.000, 0.000, 0.000), P at (0.000, 0.000, 0.500) and Cl at (0.000, 0.000, 0.265).

The total energy comes out at -128.791 eV for the cell shown. For the theoretical density, the calculation gives 3.613 g/cm³. The raw formation energy is -1.11 eV per atom.

Entry 11:
DFT (PBE) results for Cr2AuN after structural relaxation.

The structure belongs to space group I-42d (No. 122); the cell edges are 5.905, 5.905 and 6.705 Å and the angles 90.00°, 90.00° and 90.00°. The asymmetric unit holds Cr at (0.139, 0.250, 0.125), Au at (0.000, 0.000, 0.500) and N at (0.000, 0.000, 0.000).

The total energy comes out at -122.821 eV for the cell shown. For the theoretical density, the calculation gives 8.949 g/cm³. The raw formation energy is 0.04 eV per atom.

Entry 12:
DFT (PBE) results for BaLa2Se after structural relaxation.

The structure belongs to space group P4/mmm (No. 123); the cell edges are 3.793, 3.793 and 10.347 Å and the angles 90.00°, 90.00° and 90.00°. The asymmetric unit holds Ba at (0.000, 0.000, 0.000), La at (0.500, 0.500, 0.331) and Se at (0.000, 0.000, 0.500).

The total energy comes out at -17.923 eV for the cell shown. For the theoretical density, the calculation gives 5.512 g/cm³. The raw formation energy is -0.67 eV per atom.